Entry 1:
Below is a geometry-optimized Ta4ZnFe structure, with properties calculated at the PBE level.

The calculation puts the formation energy at -5.1 kJ/mol of atoms.

Structure (CIF):
```
data_Ta4ZnFe
_chemical_formula_sum 'Ta8 Zn2 Fe2'
_symmetry_space_group_name_H-M 'P 4/m c c'
_symmetry_Int_Tables_number 124
_symmetry_space_group_name_Hall '-P 4 2c'
_cell_length_a 6.2346
_cell_length_b 6.2346
_cell_length_c 5.0784
_cell_angle_alpha 90.00
_cell_angle_beta 90.00
_cell_angle_gamma 90.00
loop_
_atom_site_label
_atom_site_fract_x
_atom_site_fract_y
_atom_site_fract_z
Ta1 0.1459 0.3282 0.0000
Zn1 0.5000 0.5000 0.2500
Fe1 0.0000 0.0000 0.2500
```

---

Entry 2:
Below is a geometry-optimized LaPuInRu structure, with properties calculated at the PBE level.

The calculation puts the formation energy at -21.4 kJ/mol of atoms.

Structure (CIF):
```
data_LaPuInRu
_chemical_formula_sum 'La1 Pu1 In1 Ru1'
_symmetry_space_group_name_H-M 'P 4 m m'
_symmetry_Int_Tables_number 99
_cell_length_a 3.3832
_cell_length_b 3.3832
_cell_length_c 8.6264
_cell_angle_alpha 90.00
_cell_angle_beta 90.00
_cell_angle_gamma 90.00
loop_
_symmetry_equiv_pos_as_xyz
'x,y,z'
'-y,x,z'
'-x,-y,z'
'y,-x,z'
'-x,y,z'
'y,x,z'
'x,-y,z'
'-y,-x,z'
loop_
_atom_site_label
_atom_site_fract_x
_atom_site_fract_y
_atom_site_fract_z
La1 0.0000 0.0000 0.0000
Pu1 0.0000 0.0000 0.5888
In1 0.5000 0.5000 0.3058
Ru1 0.5000 0.5000 0.7747
```

---

Entry 3:
Below is a geometry-optimized Cs3Ce3ZnO8 structure, with properties calculated at the PBE level.

The value obtained for the uncorrected formation energy is -2.420 eV per atom.

Structure (CIF):
```
data_Cs3Ce3ZnO8
_chemical_formula_sum 'Cs6 Ce6 Zn2 O16'
_symmetry_space_group_name_H-M 'C 1 2/m 1'
_symmetry_Int_Tables_number 12
_cell_length_a 12.0593
_cell_length_b 7.3824
_cell_length_c 7.9903
_cell_angle_alpha 90.00
_cell_angle_beta 120.42
_cell_angle_gamma 90.00
loop_
_symmetry_equiv_pos_as_xyz
'x,y,z'
'-x,-y,-z'
'-x,y,-z'
'x,-y,z'
'x+1/2,y+1/2,z'
'-x+1/2,-y+1/2,-z'
'-x+1/2,y+1/2,-z'
'x+1/2,-y+1/2,z'
loop_
_atom_site_label
_atom_site_fract_x
_atom_site_fract_y
_atom_site_fract_z
Cs1 0.0000 0.0000 0.0000
Cs2 0.2500 0.2500 0.0000
Ce1 0.0000 0.5000 0.5000
Ce2 0.2500 0.2500 0.5000
Zn1 0.0000 0.0000 0.5000
O1 0.0365 0.2776 0.3323
O2 0.1891 0.0000 0.6354
O3 0.2247 0.5000 0.6666
```

---

Entry 4:
Below is a geometry-optimized La2CeScBi4 structure, with properties calculated at the PBE level.

The calculation puts the formation energy at -83.6 kJ/mol of atoms.

Structure (CIF):
```
data_La2CeScBi4
_chemical_formula_sum 'La2 Ce1 Sc1 Bi4'
_symmetry_space_group_name_H-M 'P 1 2/m 1'
_symmetry_Int_Tables_number 10
_cell_length_a 7.9128
_cell_length_b 4.5857
_cell_length_c 7.9261
_cell_angle_alpha 90.00
_cell_angle_beta 109.54
_cell_angle_gamma 90.00
loop_
_symmetry_equiv_pos_as_xyz
'x,y,z'
'-x,-y,-z'
'-x,y,-z'
'x,-y,z'
loop_
_atom_site_label
_atom_site_fract_x
_atom_site_fract_y
_atom_site_fract_z
La1 0.0000 0.0000 0.0000
La2 0.5000 0.5000 0.0000
Ce1 0.0000 0.5000 0.5000
Sc1 0.5000 0.0000 0.5000
Bi1 0.2542 0.0000 0.7360
Bi2 0.2653 0.5000 0.2704
```

---

Entry 5:
Below is a geometry-optimized Nd2DyErS4 structure, with properties calculated at the PBE level.

The value obtained for the uncorrected formation energy is -2.005 eV per atom.

Structure (CIF):
```
data_Nd2DyErS4
_chemical_formula_sum 'Nd2 Dy1 Er1 S4'
_symmetry_space_group_name_H-M 'P 1 2/m 1'
_symmetry_Int_Tables_number 10
_cell_length_a 6.8300
_cell_length_b 3.9172
_cell_length_c 7.0290
_cell_angle_alpha 90.00
_cell_angle_beta 108.71
_cell_angle_gamma 90.00
loop_
_symmetry_equiv_pos_as_xyz
'x,y,z'
'-x,-y,-z'
'-x,y,-z'
'x,-y,z'
loop_
_atom_site_label
_atom_site_fract_x
_atom_site_fract_y
_atom_site_fract_z
Nd1 0.0000 0.0000 0.0000
Nd2 0.5000 0.5000 0.0000
Dy1 0.0000 0.5000 0.5000
Er1 0.5000 0.0000 0.5000
S1 0.2458 0.0000 0.7325
S2 0.2585 0.5000 0.2689
```

---

Entry 6:
Below is a geometry-optimized DyY2Tm structure, with properties calculated at the PBE level.

The calculation puts the formation energy at 2.3 kJ/mol of atoms.

Structure (CIF):
```
data_DyY2Tm
_chemical_formula_sum 'Dy1 Y2 Tm1'
_symmetry_space_group_name_H-M 'P m m 2'
_symmetry_Int_Tables_number 25
_cell_length_a 3.5369
_cell_length_b 5.0110
_cell_length_c 7.0929
_cell_angle_alpha 90.00
_cell_angle_beta 90.00
_cell_angle_gamma 90.00
loop_
_symmetry_equiv_pos_as_xyz
'x,y,z'
'-x,-y,z'
'-x,y,z'
'x,-y,z'
loop_
_atom_site_label
_atom_site_fract_x
_atom_site_fract_y
_atom_site_fract_z
Dy1 0.0000 0.0000 0.0000
Y1 0.0000 0.0000 0.4958
Y2 0.5000 0.5000 0.7490
Tm1 0.5000 0.5000 0.2467
```

---

Entry 7:
Below is a geometry-optimized Pm2Cu2Au structure, with properties calculated at the PBE level.

The calculation puts the formation energy at -38.6 kJ/mol of atoms.

Structure (CIF):
```
data_Pm2Cu2Au
_chemical_formula_sum 'Pm8 Cu8 Au4'
_symmetry_space_group_name_H-M 'C 1 2/m 1'
_symmetry_Int_Tables_number 12
_cell_length_a 10.5582
_cell_length_b 4.3370
_cell_length_c 10.7889
_cell_angle_alpha 90.00
_cell_angle_beta 115.76
_cell_angle_gamma 90.00
loop_
_symmetry_equiv_pos_as_xyz
'x,y,z'
'-x,-y,-z'
'-x,y,-z'
'x,-y,z'
'x+1/2,y+1/2,z'
'-x+1/2,-y+1/2,-z'
'-x+1/2,y+1/2,-z'
'x+1/2,-y+1/2,z'
loop_
_atom_site_label
_atom_site_fract_x
_atom_site_fract_y
_atom_site_fract_z
Pm1 0.0216 0.0000 0.3435
Pm2 0.1929 0.0000 0.1120
Cu1 0.0225 0.5000 0.8933
Cu2 0.1303 0.5000 0.5596
Au1 0.2235 0.5000 0.3338
```

---

Entry 8:
Below is a geometry-optimized BPtBr2 structure, with properties calculated at the PBE level.

The value obtained for the uncorrected formation energy is 1.422 eV per atom.

Structure (CIF):
```
data_BPtBr2
_chemical_formula_sum 'B4 Pt4 Br8'
_symmetry_space_group_name_H-M 'F m -3 m'
_symmetry_Int_Tables_number 225
_symmetry_space_group_name_Hall '-F 4 2 3'
_cell_length_a 6.7329
_cell_length_b 6.7329
_cell_length_c 6.7329
_cell_angle_alpha 90.00
_cell_angle_beta 90.00
_cell_angle_gamma 90.00
loop_
_atom_site_label
_atom_site_fract_x
_atom_site_fract_y
_atom_site_fract_z
B1 0.0000 0.0000 0.0000
Pt1 0.0000 0.0000 0.5000
Br1 0.2500 0.2500 0.2500
```

---

Number 1: density of states at the Fermi level 7.3 states/eV/f.u., M_tot 0.001 μB per formula unit. Number 2: density of states at the Fermi level 8.0 states/eV/f.u., M_tot 4.609 μB per formula unit. Number 3: density of states at the Fermi level 7.8 states/eV/f.u., M_tot 1.085 μB per formula unit. Number 4: density of states at the Fermi level 7.0 states/eV/f.u., M_tot 0.736 μB per formula unit. Number 5: density of states at the Fermi level 4.0 states/eV/f.u., M_tot 0.000 μB per formula unit. Number 6: density of states at the Fermi level 5.2 states/eV/f.u., M_tot 0.000 μB per formula unit. Number 7: density of states at the Fermi level 3.5 states/eV/f.u., M_tot 0.000 μB per formula unit. Number 8: density of states at the Fermi level 3.4 states/eV/f.u., M_tot 1.000 μB per formula unit.